1.
ScNi, optimized geometry, DFT PBE; ρ = 3.0 g cm⁻³; energy = -5.3943 eV per atom; N(E_F) = 2.3 states/eV/f.u.
1.0
7.018 0.000 0.000
0.000 7.018 0.000
0.000 0.000 7.018
Sc Ni
6 6
Direct
0.000 0.250 0.500
0.000 0.750 0.500
0.250 0.500 0.000
0.500 0.000 0.250
0.500 0.000 0.750
0.750 0.500 0.000
0.000 0.500 0.250
0.000 0.500 0.750
0.250 0.000 0.500
0.500 0.250 0.000
0.500 0.750 0.000
0.750 0.000 0.500

***

2.
Li2CuAgN, optimized geometry, DFT PBE; ρ = 5.3 g cm⁻³; N(E_F) = 1.8 states/eV/f.u.; ΔE_f (raw) = -0.0918 eV/atom
1.0
4.113 0.000 0.000
0.000 4.113 0.000
0.000 0.000 3.721
Li Cu Ag N
2 1 1 1
Direct
0.000 0.500 0.000
0.500 0.000 0.000
0.000 0.000 0.500
0.500 0.500 0.500
0.000 0.000 0.000

***

3.
KGaAgCl6, optimized geometry, DFT PBE; ρ = 2.7 g cm⁻³; N(E_F) = 1.4 states/eV/f.u.; ΔE_f (raw) = -1.0174 eV/atom
1.0
6.496 0.000 0.000
-2.777 5.876 0.000
-0.269 -0.411 6.853
K Ga Ag Cl
1 1 1 6
Direct
0.000 0.000 0.000
0.664 0.335 0.499
0.321 0.679 0.500
0.366 0.041 0.682
0.378 0.388 0.289
0.613 0.622 0.710
0.643 0.054 0.277
0.946 0.355 0.721
0.959 0.634 0.318

***

What did the third record say?
KGaAgCl6, optimized geometry, DFT PBE; ρ = 2.7 g cm⁻³; N(E_F) = 1.4 states/eV/f.u.; ΔE_f (raw) = -1.0174 eV/atom
1.0
6.496 0.000 0.000
-2.777 5.876 0.000
-0.269 -0.411 6.853
K Ga Ag Cl
1 1 1 6
Direct
0.000 0.000 0.000
0.664 0.335 0.499
0.321 0.679 0.500
0.366 0.041 0.682
0.378 0.388 0.289
0.613 0.622 0.710
0.643 0.054 0.277
0.946 0.355 0.721
0.959 0.634 0.318

***

Question: The lowest N(E_F) belongs to which entry?
Answer: KGaAgCl6

***

Please write out number 3 again, unchanged.
KGaAgCl6, optimized geometry, DFT PBE; ρ = 2.7 g cm⁻³; N(E_F) = 1.4 states/eV/f.u.; ΔE_f (raw) = -1.0174 eV/atom
1.0
6.496 0.000 0.000
-2.777 5.876 0.000
-0.269 -0.411 6.853
K Ga Ag Cl
1 1 1 6
Direct
0.000 0.000 0.000
0.664 0.335 0.499
0.321 0.679 0.500
0.366 0.041 0.682
0.378 0.388 0.289
0.613 0.622 0.710
0.643 0.054 0.277
0.946 0.355 0.721
0.959 0.634 0.318